Entry 1:
{
  "formula": "Rb3Pa3SbN8",
  "functional": "PBE",
  "state": "optimized geometry",
  "lattice": [[-5.6364, 2.6059, 3.3190], [4.3819, -4.3448, 3.3842], [2.6536, 7.3838, -1.2911]],
  "species": ["N", "Pa", "N", "Pa", "Sb", "N", "Pa", "N", "Rb", "N", "N", "N", "Rb", "Rb", "N"],
  "fractional_positions": [[0.2135, 0.4269, 0.6545], [0.5000, 0.5000, 0.5000], [0.7157, 0.4315, 0.6473], [0.5000, 0.0000, 0.5000], [0.0000, 0.0000, 0.5000], [0.2130, 0.9409, 0.6542], [0.0000, 0.5000, 0.5000], [0.2843, 0.5685, 0.3527], [0.5000, 0.5000, 0.0000], [0.2721, 0.0591, 0.3458], [0.7279, 0.9409, 0.6542], [0.7865, 0.5731, 0.3455], [0.0000, 0.5000, 0.0000], [0.0000, 0.0000, 0.0000], [0.7870, 0.0591, 0.3458]],
  "e_tot_ev_per_atom": -7.47,
  "e_form_raw_ev_per_atom": -0.66,
  "magmom_total_mub_per_cell": 0.000
}

***

Entry 2:
{
  "formula": "Er6Ga3Ir",
  "functional": "PBE",
  "state": "optimized geometry",
  "lattice": [[4.9625, 0.0000, 0.0017], [0.0000, 8.5649, 0.0000], [-0.0043, 0.0000, 11.4106]],
  "species": ["Er", "Ga", "Ir", "Ga", "Ir", "Er", "Ga", "Er", "Er", "Er", "Er", "Ga", "Er", "Ga", "Er", "Er", "Er", "Er", "Er", "Ga"],
  "fractional_positions": [[0.0002, 0.0045, 0.7543], [0.0000, 0.0000, 0.5000], [0.0000, 0.0000, 0.0000], [0.0002, 0.6614, 0.2356], [0.5000, 0.5000, 0.5000], [0.9999, 0.6795, 0.9165], [0.5002, 0.8386, 0.7356], [0.5002, 0.4955, 0.2543], [0.9998, 0.6593, 0.5865], [0.0002, 0.3407, 0.4135], [0.4998, 0.8407, 0.0865], [0.5000, 0.5000, 0.0000], [0.9998, 0.9955, 0.2457], [0.4998, 0.1614, 0.2644], [0.4998, 0.5045, 0.7457], [0.0001, 0.3205, 0.0835], [0.5002, 0.1593, 0.9135], [0.5001, 0.1795, 0.5835], [0.4999, 0.8205, 0.4165], [0.9998, 0.3386, 0.7644]],
  "e_tot_ev_per_atom": -5.07,
  "magmom_total_mub_per_cell": 0.000,
  "e_form_ev_per_atom": -0.53
}

***

Entry 3:
{
  "formula": "YErPt",
  "functional": "PBE",
  "state": "optimized geometry",
  "lattice": [[4.0028, 0.2028, -0.2010], [-0.2130, 4.0023, -0.2010], [-1.4190, -1.5745, 10.2994]],
  "species": ["Er", "Pt", "Y", "Pt", "Er", "Y"],
  "fractional_positions": [[0.1643, 0.4140, 0.3285], [0.3096, 0.5592, 0.6187], [0.0246, 0.7750, 0.0495], [0.5592, 0.3096, 0.1187], [0.4140, 0.1643, 0.8285], [0.7750, 0.0246, 0.5495]],
  "e_tot_ev_per_atom": -6.45,
  "e_above_lowest_polymorph_ev_per_fu": 0.37,
  "magmom_total_mub_per_cell": 0.000,
  "e_form_ev_per_atom": -0.76
}

***

Entry 4:
{
  "formula": "LuFe10Si2",
  "functional": "PBE",
  "state": "optimized geometry",
  "lattice": [[-3.9171, -0.0393, 2.6765], [-4.7081, -3.1871, -2.7323], [3.7995, -4.8687, 1.2843]],
  "species": ["Fe", "Fe", "Fe", "Lu", "Fe", "Fe", "Si", "Fe", "Fe", "Fe", "Si", "Fe", "Fe"],
  "fractional_positions": [[0.0000, 0.5000, 0.0000], [0.5000, 0.2050, 0.2050], [0.5000, 0.7950, 0.7950], [0.0000, 0.0000, 0.0000], [0.6392, 0.3608, 0.6392], [0.0000, 0.0000, 0.5000], [0.7328, 0.7672, 0.2328], [0.3608, 0.6392, 0.3608], [0.0000, 0.6465, 0.6465], [0.5000, 0.5000, 0.0000], [0.2672, 0.2328, 0.7672], [0.5000, 0.0000, 0.5000], [0.0000, 0.3535, 0.3535]],
  "e_tot_ev_per_atom": -7.95,
  "e_form_raw_ev_per_atom": -0.26,
  "e_above_lowest_polymorph_ev_per_fu": 0.00,
  "magmom_total_mub_per_cell": 20.346
}

***

Entry 5:
{
  "formula": "CaYCdSn2",
  "functional": "PBE",
  "state": "optimized geometry",
  "lattice": [[-4.6286, -2.9061, 1.0891], [1.3352, -3.5734, -3.8605], [2.7842, -3.0245, 3.7625]],
  "species": ["Y", "Cd", "Sn", "Sn", "Ca"],
  "fractional_positions": [[0.5000, 0.5000, 0.5000], [0.0000, 0.5000, 0.0000], [0.5000, 0.0000, 0.0000], [0.0000, 0.0000, 0.5000], [0.0000, 0.0000, 0.0000]],
  "e_tot_ev_per_atom": -3.08,
  "magmom_total_mub_per_cell": 0.000,
  "e_form_ev_per_atom": 0.40
}

***

Entry 6:
{
  "formula": "Zr2TaIr",
  "functional": "PBE",
  "state": "optimized geometry",
  "lattice": [[-1.9804, 1.2255, -2.3014], [-2.3553, -2.0806, 0.9187], [-2.4787, 4.8998, 4.7421]],
  "species": ["Zr", "Ta", "Ir", "Zr"],
  "fractional_positions": [[0.0000, 0.0000, 0.9878], [0.5000, 0.5000, 0.7194], [0.0000, 0.0000, 0.5169], [0.5000, 0.5000, 0.2759]],
  "e_tot_ev_per_atom": -9.77,
  "e_above_lowest_polymorph_ev_per_fu": 0.26,
  "magmom_total_mub_per_cell": 0.000,
  "e_form_ev_per_atom": -0.32
}

***

Entry 7:
{
  "formula": "Pr2CdPtO6",
  "functional": "PBE",
  "state": "optimized geometry",
  "lattice": [[5.6408, 0.0000, -0.0197], [0.0000, 6.0514, 0.0000], [0.0216, 0.0000, 8.1341]],
  "species": ["Pt", "O", "O", "Cd", "Cd", "O", "O", "Pr", "O", "O", "O", "Pr", "O", "Pr", "O", "Pt", "O", "Pr", "O", "O"],
  "fractional_positions": [[0.0000, 0.5000, 0.0000], [0.3760, 0.9474, 0.7339], [0.1714, 0.2129, 0.0693], [0.5000, 0.0000, 0.0000], [0.0000, 0.5000, 0.5000], [0.7016, 0.3194, 0.9443], [0.8286, 0.7871, 0.9307], [0.4769, 0.4301, 0.2481], [0.2016, 0.1806, 0.4443], [0.7984, 0.8194, 0.5557], [0.8760, 0.5526, 0.2339], [0.9769, 0.0699, 0.7481], [0.6240, 0.0526, 0.2661], [0.0231, 0.9301, 0.2519], [0.1240, 0.4474, 0.7661], [0.5000, 0.0000, 0.5000], [0.2984, 0.6806, 0.0557], [0.5231, 0.5699, 0.7519], [0.3286, 0.7129, 0.4307], [0.6714, 0.2871, 0.5693]],
  "e_tot_ev_per_atom": -6.68,
  "e_form_raw_ev_per_atom": -2.06,
  "magmom_total_mub_per_cell": 0.000
}

***

Entry 8:
{
  "formula": "Cu2SnSe3",
  "functional": "PBE",
  "state": "optimized geometry",
  "lattice": [[-4.1145, -5.6035, -1.2392], [6.3932, -0.8830, 2.8655], [-4.5840, -0.8730, 12.7389]],
  "species": ["Se", "Se", "Se", "Se", "Se", "Cu", "Se", "Cu", "Se", "Se", "Se", "Cu", "Cu", "Cu", "Se", "Se", "Sn", "Cu", "Cu", "Sn", "Sn", "Cu", "Se", "Sn"],
  "fractional_positions": [[0.5229, 0.3812, 0.4515], [0.8007, 0.6063, 0.6890], [0.9590, 0.4426, 0.2007], [0.0896, 0.2500, 0.6895], [0.1688, 0.6720, 0.4394], [0.9158, 0.0817, 0.2578], [0.6063, 0.8007, 0.1890], [0.0817, 0.9158, 0.7578], [0.8839, 0.0310, 0.4387], [0.0310, 0.8839, 0.9387], [0.4426, 0.9590, 0.7007], [0.8467, 0.6840, 0.5082], [0.6840, 0.8467, 0.0082], [0.2603, 0.7673, 0.2584], [0.3812, 0.5229, 0.9515], [0.6720, 0.1688, 0.9394], [0.5067, 0.9951, 0.4998], [0.3404, 0.1621, 0.0088], [0.1621, 0.3404, 0.5088], [0.5729, 0.4255, 0.2509], [0.4255, 0.5729, 0.7509], [0.7673, 0.2603, 0.7584], [0.2500, 0.0896, 0.1895], [0.9951, 0.5067, 0.9998]],
  "e_tot_ev_per_atom": -4.06,
  "e_form_raw_ev_per_atom": -0.29,
  "magmom_total_mub_per_cell": 0.000
}

***

Entry 9:
{
  "formula": "CaSe",
  "functional": "PBE",
  "state": "optimized geometry",
  "lattice": [[-0.7072, 6.4536, -1.6903], [-2.9274, -6.0362, 0.0135], [-1.6782, 0.8224, 3.8423]],
  "species": ["Ca", "Se", "Ca", "Se"],
  "fractional_positions": [[0.3608, 0.6392, 0.2500], [0.8702, 0.1298, 0.7500], [0.6392, 0.3608, 0.7500], [0.1298, 0.8702, 0.2500]],
  "e_tot_ev_per_atom": -4.60,
  "e_form_raw_ev_per_atom": -1.86,
  "magmom_total_mub_per_cell": 0.000
}

***

Entry 10:
{
  "formula": "La2BRu2",
  "functional": "PBE",
  "state": "optimized geometry",
  "lattice": [[7.5700, 0.0000, 0.0000], [0.0000, 7.5700, 0.0000], [0.0000, 0.0000, 3.9736]],
  "species": ["Ru", "La", "Ru", "Ru", "Ru", "La", "La", "B", "B", "La"],
  "fractional_positions": [[0.3866, 0.1134, 0.5000], [0.8088, 0.6912, 0.0000], [0.1134, 0.6134, 0.5000], [0.6134, 0.8866, 0.5000], [0.8866, 0.3866, 0.5000], [0.3088, 0.8088, 0.0000], [0.1912, 0.3088, 0.0000], [0.5000, 0.5000, 0.0000], [0.0000, 0.0000, 0.0000], [0.6912, 0.1912, 0.0000]],
  "e_tot_ev_per_atom": -6.21,
  "e_above_lowest_polymorph_ev_per_fu": 3.82,
  "magmom_total_mub_per_cell": 2.000,
  "e_form_ev_per_atom": 0.81
}

***

Entry 11:
{
  "formula": "HgAs5",
  "functional": "PBE",
  "state": "optimized geometry",
  "lattice": [[-0.6166, -4.8162, 3.8986], [2.0278, -2.8455, 5.1542], [-4.1501, 1.2590, 6.7646]],
  "species": ["As", "Hg", "As", "As", "As", "As"],
  "fractional_positions": [[0.9976, 0.9976, 0.3760], [0.6959, 0.6959, 0.1224], [0.3228, 0.3228, 0.3910], [0.7093, 0.7093, 0.6552], [0.9511, 0.9511, 0.9319], [0.4899, 0.4899, 0.6901]],
  "e_tot_ev_per_atom": -3.73,
  "e_above_lowest_polymorph_ev_per_fu": 0.00,
  "magmom_total_mub_per_cell": 0.000,
  "e_form_ev_per_atom": 0.20
}

***

Entry 12:
{
  "formula": "RbHOF2",
  "functional": "PBE",
  "state": "optimized geometry",
  "lattice": [[5.0716, 0.0000, 0.0000], [0.0000, 5.0716, 0.0000], [0.0000, 0.0000, 5.8496]],
  "species": ["F", "F", "Rb", "O", "H"],
  "fractional_positions": [[0.5000, 0.0000, 0.0000], [0.0000, 0.5000, 0.0000], [0.0000, 0.0000, 0.0000], [0.0000, 0.0000, 0.5000], [0.5000, 0.5000, 0.5000]],
  "e_tot_ev_per_atom": -2.47,
  "e_above_lowest_polymorph_ev_per_fu": 4.52,
  "magmom_total_mub_per_cell": 3.913
}

***

Entry 13:
{
  "formula": "CaSi3Ir4",
  "functional": "PBE",
  "state": "optimized geometry",
  "lattice": [[4.0562, 0.0000, 0.0000], [0.0000, 4.0562, 0.0000], [0.0000, 0.0000, 7.8671]],
  "species": ["Si", "Si", "Ir", "Si", "Ir", "Ir", "Ir", "Ca"],
  "fractional_positions": [[0.0000, 0.0000, 0.0000], [0.5000, 0.5000, 0.6587], [0.5000, 0.0000, 0.1839], [0.5000, 0.5000, 0.3413], [0.0000, 0.5000, 0.8161], [0.5000, 0.0000, 0.8161], [0.0000, 0.5000, 0.1839], [0.0000, 0.0000, 0.5000]],
  "e_tot_ev_per_atom": -7.48,
  "e_form_raw_ev_per_atom": -0.77,
  "magmom_total_mub_per_cell": 0.000
}

***

Entry 14:
{
  "formula": "Sm3Er4Al",
  "functional": "PBE",
  "state": "optimized geometry",
  "lattice": [[-1.5305, -3.1699, -0.4133], [1.6685, -1.1830, 2.8945], [-14.6604, 5.6740, 10.7699]],
  "species": ["Al", "Er", "Sm", "Sm", "Er", "Sm", "Er", "Er"],
  "fractional_positions": [[0.5000, 0.5000, 0.0000], [0.0000, 0.0000, 0.9021], [0.5000, 0.5000, 0.5000], [0.5000, 0.5000, 0.2327], [0.0000, 0.0000, 0.3663], [0.5000, 0.5000, 0.7673], [0.0000, 0.0000, 0.6337], [0.0000, 0.0000, 0.0979]],
  "e_tot_ev_per_atom": -4.61,
  "magmom_total_mub_per_cell": 0.000,
  "e_form_ev_per_atom": -0.09
}

***

Entry 15:
{
  "formula": "Na3CdSn",
  "functional": "PBE",
  "state": "optimized geometry",
  "lattice": [[-0.6961, 1.4825, -5.7404], [-1.7019, -5.5866, -1.2364], [-5.6792, 1.4924, 1.0741]],
  "species": ["Na", "Na", "Na", "Sn", "Cd"],
  "fractional_positions": [[0.0000, 0.0000, 0.5000], [0.0000, 0.5000, 0.0000], [0.5000, 0.0000, 0.0000], [0.0000, 0.0000, 0.0000], [0.5000, 0.5000, 0.5000]],
  "e_tot_ev_per_atom": -1.63,
  "e_above_lowest_polymorph_ev_per_fu": 1.37,
  "magmom_total_mub_per_cell": 1.000,
  "e_form_ev_per_atom": 0.15
}

***

Entry 16:
{
  "formula": "YTlSb2",
  "functional": "PBE",
  "state": "optimized geometry",
  "lattice": [[4.2808, 0.0000, 0.0000], [0.0000, 4.2768, 0.0000], [0.0000, 0.0000, 6.5564]],
  "species": ["Sb", "Sb", "Tl", "Y"],
  "fractional_positions": [[0.5000, 0.5000, 0.3199], [0.0000, 0.0000, 0.9112], [0.0000, 0.0000, 0.4502], [0.5000, 0.5000, 0.8187]],
  "e_tot_ev_per_atom": -4.68,
  "e_form_raw_ev_per_atom": -0.41,
  "e_above_lowest_polymorph_ev_per_fu": 0.32,
  "magmom_total_mub_per_cell": 0.000
}

***

Entry 17:
{
  "formula": "HfSbH2",
  "functional": "PBE",
  "state": "optimized geometry",
  "lattice": [[0.0000, 2.9726, 2.9726], [2.9726, 0.0000, 2.9726], [2.9726, 2.9726, 0.0000]],
  "species": ["Sb", "H", "H", "Hf"],
  "fractional_positions": [[0.0000, 0.0000, 0.0000], [0.7500, 0.7500, 0.7500], [0.2500, 0.2500, 0.2500], [0.5000, 0.5000, 0.5000]],
  "e_tot_ev_per_atom": -4.73,
  "e_above_lowest_polymorph_ev_per_fu": 3.32,
  "magmom_total_mub_per_cell": 0.000
}

***

Entry 18:
{
  "formula": "Li2CaSmHg4",
  "functional": "PBE",
  "state": "optimized geometry",
  "lattice": [[-4.7592, -0.6546, -1.6545], [-0.9218, -0.4360, -4.9775], [-0.9375, -8.7171, -1.6561]],
  "species": ["Li", "Hg", "Hg", "Hg", "Li", "Hg", "Ca", "Sm"],
  "fractional_positions": [[0.7497, 0.7497, 0.7510], [0.8759, 0.8759, 0.3724], [0.3768, 0.3768, 0.8696], [0.6232, 0.6232, 0.1304], [0.2503, 0.2503, 0.2490], [0.1241, 0.1241, 0.6276], [0.0000, 0.0000, 0.0000], [0.5000, 0.5000, 0.5000]],
  "e_tot_ev_per_atom": -1.90,
  "magmom_total_mub_per_cell": 0.000,
  "e_form_ev_per_atom": -0.43
}

***

Entry 19:
{
  "formula": "KRh2W",
  "functional": "PBE",
  "state": "optimized geometry",
  "lattice": [[-2.3935, -1.1118, 0.7737], [1.9641, -2.1501, 2.9866], [-1.0838, 5.6698, 4.7945]],
  "species": ["Rh", "Rh", "K", "W"],
  "fractional_positions": [[0.0000, 0.0000, 0.0732], [0.5000, 0.5000, 0.2729], [0.5000, 0.5000, 0.7670], [0.0000, 0.0000, 0.3869]],
  "e_tot_ev_per_atom": -6.62,
  "e_above_lowest_polymorph_ev_per_fu": 1.30,
  "magmom_total_mub_per_cell": 0.000,
  "e_form_ev_per_atom": 0.56
}

***

Entry 20:
{
  "formula": "BaGaBi2",
  "functional": "PBE",
  "state": "optimized geometry",
  "lattice": [[4.9111, 0.0143, 0.2256], [0.0126, 4.8626, 0.2281], [-2.1582, -2.1273, 5.7739]],
  "species": ["Ga", "Ba", "Bi", "Bi"],
  "fractional_positions": [[0.4098, 0.6930, 0.7255], [0.2359, 0.8656, 0.2257], [0.8224, 0.4337, 0.5035], [0.6671, 0.2824, 0.9580]],
  "e_tot_ev_per_atom": -3.58,
  "magmom_total_mub_per_cell": 0.000,
  "e_form_ev_per_atom": -0.40
}